Below is an optimized crystal structure of HOs, with properties calculated at the GGA-PBE level.

As for the distance to the lowest polymorph of the same formula: 179.6 meV/atom. The value obtained for the total moment is 0.00 Bohr magnetons per cell.

The structure belongs to space group Pmmn (No. 59, origin choice 2); the cell edges are 2.786, 10.078 and 4.034 Å and the angles 90.00°, 90.00° and 90.00°. The distinct sites, in fractional coordinates, are H at (0.250, 0.068, 0.207), H at (0.250, 0.750, 0.217), Os at (0.250, 0.250, 0.057) and Os at (0.250, 0.610, 0.476).

***

Below is an optimized crystal structure of HOs4, with properties calculated at the GGA-PBE level.

The total energy is -9.38 eV per atom. The value obtained for the total moment is 0.00 Bohr magnetons per cell.

The structure belongs to space group Pm-3m (No. 221); the cell edges are 3.904, 3.904 and 3.904 Å and the angles 90.00°, 90.00° and 90.00°. The distinct sites, in fractional coordinates, are H at (0.000, 0.000, 0.000), Os at (0.000, 0.000, 0.500) and Os at (0.500, 0.500, 0.500).

***

Below is an optimized crystal structure of HOs, with properties calculated at the GGA-PBE level.

As for the distance to the lowest polymorph of the same formula: 102.5 meV/atom. The value obtained for the total moment is 0.00 Bohr magnetons per cell.

The structure belongs to space group I4/m (No. 87); the cell edges are 7.814, 7.814 and 2.723 Å and the angles 90.00°, 90.00° and 90.00°. The distinct sites, in fractional coordinates, are H at (0.115, 0.151, 0.000) and Os at (0.136, 0.652, 0.500).

***

Below is an optimized crystal structure of HOs, with properties calculated at the GGA-PBE level.

As for the distance to the lowest polymorph of the same formula: 150.3 meV/atom. The value obtained for the total moment is 0.00 Bohr magnetons per cell.

The structure belongs to space group Fddd (No. 70, origin choice 2); the cell edges are 5.583, 6.222 and 8.076 Å and the angles 90.00°, 90.00° and 90.00°. The distinct sites, in fractional coordinates, are H at (0.125, 0.125, 0.019) and Os at (0.125, 0.337, 0.625).

***

Question: Look up the total moment of the fourth one.
Answer: 0.00 Bohr magnetons per cell